--- P ---
Entry from Alexandria via LeMat-Bulk: crystalline BaPmAg2 at its relaxed geometry (PBE).

Cell and atoms, written as CIF:
```
data_BaPmAg2
_chemical_formula_sum 'Ba1 Pm1 Ag2'
_cell_length_a 5.583
_cell_length_b 5.583
_cell_length_c 3.813
_cell_angle_alpha 90.00
_cell_angle_beta 90.00
_cell_angle_gamma 90.00
_space_group_name_H-M_alt 'P 4/m m m'
_space_group_IT_number 123
_space_group_name_Hall '-P 4 2'
loop_
_atom_site_label
_atom_site_fract_x
_atom_site_fract_y
_atom_site_fract_z
_atom_site_occupancy
Ba1 0.000 0.000 0.000 1
Pm1 0.500 0.500 0.000 1
Ag1 0.000 0.500 0.500 1
```

Total magnetic moment = 0.000 Bohr magnetons per cell

=====

--- Q ---
Entry from Alexandria via LeMat-Bulk: crystalline BaPmAg2 at its relaxed geometry (PBE).

Cell and atoms, written as CIF:
```
data_BaPmAg2
_chemical_formula_sum 'Ba3 Pm3 Ag6'
_cell_length_a 5.2196
_cell_length_b 5.2196
_cell_length_c 16.6578
_cell_angle_alpha 90.00
_cell_angle_beta 90.00
_cell_angle_gamma 120.00
_space_group_name_H-M_alt 'R -3 m'
_space_group_IT_number 166
_space_group_name_Hall '-R 3 2"'
loop_
_atom_site_label
_atom_site_fract_x
_atom_site_fract_y
_atom_site_fract_z
_atom_site_occupancy
Ba1 0.0000 0.0000 0.0000 1
Pm1 0.0000 0.0000 0.5000 1
Ag1 0.0000 0.0000 0.2069 1
```

Total magnetic moment = 0.000 Bohr magnetons per cell

=====

--- R ---
Entry from Alexandria via LeMat-Bulk: crystalline BaPmAg2 at its relaxed geometry (PBE).

Cell and atoms, written as CIF:
```
data_BaPmAg2
_chemical_formula_sum 'Ba4 Pm4 Ag8'
_cell_length_a 7.830
_cell_length_b 7.830
_cell_length_c 7.830
_cell_angle_alpha 90.00
_cell_angle_beta 90.00
_cell_angle_gamma 90.00
_space_group_name_H-M_alt 'F m -3 m'
_space_group_IT_number 225
_space_group_name_Hall '-F 4 2 3'
loop_
_atom_site_label
_atom_site_fract_x
_atom_site_fract_y
_atom_site_fract_z
_atom_site_occupancy
Ba1 0.000 0.000 0.000 1
Pm1 0.000 0.000 0.500 1
Ag1 0.250 0.250 0.250 1
```

Total magnetic moment = 0.000 Bohr magnetons per cell

=====

--- S ---
Entry from Alexandria via LeMat-Bulk: crystalline BaPmAg2 at its relaxed geometry (PBE).

Cell and atoms, written as CIF:
```
data_BaPmAg2
_chemical_formula_sum 'Ba1 Pm1 Ag2'
_cell_length_a 3.901
_cell_length_b 3.901
_cell_length_c 7.891
_cell_angle_alpha 90.00
_cell_angle_beta 90.00
_cell_angle_gamma 90.00
_space_group_name_H-M_alt 'P 4/m m m'
_space_group_IT_number 123
_space_group_name_Hall '-P 4 2'
loop_
_atom_site_label
_atom_site_fract_x
_atom_site_fract_y
_atom_site_fract_z
_atom_site_occupancy
Ba1 0.000 0.000 0.000 1
Pm1 0.000 0.000 0.500 1
Ag1 0.500 0.500 0.300 1
```

Total magnetic moment = 0.000 Bohr magnetons per cell

=====

The least stable of them is R.

=====

--- P ---
Entry from Alexandria via LeMat-Bulk: crystalline BaPm2Ag at its relaxed geometry (PBE).

Cell and atoms, written as CIF:
```
data_BaPm2Ag
_chemical_formula_sum 'Ba3 Pm6 Ag3'
_cell_length_a 3.7362
_cell_length_b 3.7362
_cell_length_c 35.6802
_cell_angle_alpha 90.00
_cell_angle_beta 90.00
_cell_angle_gamma 120.00
_space_group_name_H-M_alt 'R -3 m'
_space_group_IT_number 166
_space_group_name_Hall '-R 3 2"'
loop_
_atom_site_label
_atom_site_fract_x
_atom_site_fract_y
_atom_site_fract_z
_atom_site_occupancy
Ba1 0.0000 0.0000 0.0000 1
Pm1 0.0000 0.0000 0.1033 1
Ag1 0.0000 0.0000 0.5000 1
```

Total magnetic moment = 0.000 Bohr magnetons per cell

=====

--- Q ---
Entry from Alexandria via LeMat-Bulk: crystalline BaPm2Ag at its relaxed geometry (PBE).

Cell and atoms, written as CIF:
```
data_BaPm2Ag
_chemical_formula_sum 'Ba1 Pm2 Ag1'
_cell_length_a 3.815
_cell_length_b 3.815
_cell_length_c 9.745
_cell_angle_alpha 90.00
_cell_angle_beta 90.00
_cell_angle_gamma 90.00
_space_group_name_H-M_alt 'P 4/m m m'
_space_group_IT_number 123
_space_group_name_Hall '-P 4 2'
loop_
_atom_site_label
_atom_site_fract_x
_atom_site_fract_y
_atom_site_fract_z
_atom_site_occupancy
Ba1 0.000 0.000 0.000 1
Pm1 0.500 0.500 0.322 1
Ag1 0.000 0.000 0.500 1
```

Total magnetic moment = 0.000 Bohr magnetons per cell

=====

The least stable of them is P.

=====

--- P ---
Entry from Alexandria via LeMat-Bulk: crystalline BaPmAg at its relaxed geometry (PBE).

Cell and atoms, written as CIF:
```
data_BaPmAg
_chemical_formula_sum 'Ba2 Pm2 Ag2'
_cell_length_a 3.946
_cell_length_b 3.946
_cell_length_c 13.890
_cell_angle_alpha 90.00
_cell_angle_beta 90.00
_cell_angle_gamma 90.00
_space_group_name_H-M_alt 'I 4 m m'
_space_group_IT_number 107
_space_group_name_Hall 'I 4 -2'
loop_
_atom_site_label
_atom_site_fract_x
_atom_site_fract_y
_atom_site_fract_z
_atom_site_occupancy
Ba1 0.000 0.000 0.000 1
Pm1 0.000 0.000 0.270 1
Ag1 0.000 0.000 0.667 1
```

Total magnetic moment = 0.000 Bohr magnetons per cell

=====

--- Q ---
Entry from Alexandria via LeMat-Bulk: crystalline BaPmAg at its relaxed geometry (PBE).

Cell and atoms, written as CIF:
```
data_BaPmAg
_chemical_formula_sum 'Ba1 Pm1 Ag1'
_cell_length_a 5.2884
_cell_length_b 5.2884
_cell_length_c 4.4571
_cell_angle_alpha 90.00
_cell_angle_beta 90.00
_cell_angle_gamma 120.00
_space_group_name_H-M_alt 'P 3 m 1'
_space_group_IT_number 156
_space_group_name_Hall 'P 3 -2"'
loop_
_atom_site_label
_atom_site_fract_x
_atom_site_fract_y
_atom_site_fract_z
_atom_site_occupancy
Ba1 0.0000 0.0000 0.0000 1
Pm1 0.3333 0.6667 0.5122 1
Ag1 0.6667 0.3333 0.4625 1
```

Total magnetic moment = 0.000 Bohr magnetons per cell

=====

The least stable of them is Q.

=====

--- P ---
Entry from Alexandria via LeMat-Bulk: crystalline BaAg2Pt at its relaxed geometry (PBE).

Cell and atoms, written as CIF:
```
data_BaAg2Pt
_chemical_formula_sum 'Ba4 Ag8 Pt4'
_cell_length_a 7.316
_cell_length_b 7.316
_cell_length_c 7.316
_cell_angle_alpha 90.00
_cell_angle_beta 90.00
_cell_angle_gamma 90.00
_space_group_name_H-M_alt 'F -4 3 m'
_space_group_IT_number 216
_space_group_name_Hall 'F -4 2 3'
loop_
_atom_site_label
_atom_site_fract_x
_atom_site_fract_y
_atom_site_fract_z
_atom_site_occupancy
Ba1 0.000 0.000 0.000 1
Ag1 0.000 0.000 0.500 1
Ag2 0.250 0.250 0.750 1
Pt1 0.250 0.250 0.250 1
```

Total magnetic moment = 0.000 Bohr magnetons per cell

=====

--- Q ---
Entry from Alexandria via LeMat-Bulk: crystalline BaAg2Pt at its relaxed geometry (PBE).

Cell and atoms, written as CIF:
```
data_BaAg2Pt
_chemical_formula_sum 'Ba2 Ag4 Pt2'
_cell_length_a 8.257
_cell_length_b 4.760
_cell_length_c 6.075
_cell_angle_alpha 90.00
_cell_angle_beta 116.63
_cell_angle_gamma 90.00
_space_group_name_H-M_alt 'C 1 m 1'
_space_group_IT_number 8
_space_group_name_Hall 'C -2y'
loop_
_atom_site_label
_atom_site_fract_x
_atom_site_fract_y
_atom_site_fract_z
_atom_site_occupancy
Ba1 0.000 0.000 0.000 1
Ag1 0.193 0.000 0.582 1
Ag2 0.487 0.000 0.463 1
Pt1 0.304 0.500 0.413 1
```

Total magnetic moment = 0.000 Bohr magnetons per cell

=====

The least stable of them is P.

=====

--- P ---
Entry from Alexandria via LeMat-Bulk: crystalline BaAg2Pt at its relaxed geometry (PBE).

Cell and atoms, written as CIF:
```
data_BaAg2Pt
_chemical_formula_sum 'Ba2 Ag4 Pt2'
_cell_length_a 3.748
_cell_length_b 5.019
_cell_length_c 10.185
_cell_angle_alpha 90.00
_cell_angle_beta 90.00
_cell_angle_gamma 90.00
_space_group_name_H-M_alt 'I m m m'
_space_group_IT_number 71
_space_group_name_Hall '-I 2 2'
loop_
_atom_site_label
_atom_site_fract_x
_atom_site_fract_y
_atom_site_fract_z
_atom_site_occupancy
Ba1 0.000 0.000 0.000 1
Ag1 0.000 0.500 0.215 1
Pt1 0.000 0.000 0.500 1
```

Total magnetic moment = 0.000 Bohr magnetons per cell

=====

--- Q ---
Entry from Alexandria via LeMat-Bulk: crystalline BaAg2Pt at its relaxed geometry (PBE).

Cell and atoms, written as CIF:
```
data_BaAg2Pt
_chemical_formula_sum 'Ba4 Ag8 Pt4'
_cell_length_a 4.960
_cell_length_b 4.960
_cell_length_c 19.185
_cell_angle_alpha 90.00
_cell_angle_beta 90.00
_cell_angle_gamma 90.00
_space_group_name_H-M_alt 'I -4 2 d'
_space_group_IT_number 122
_space_group_name_Hall 'I -4 2bw'
loop_
_atom_site_label
_atom_site_fract_x
_atom_site_fract_y
_atom_site_fract_z
_atom_site_occupancy
Ba1 0.000 0.000 0.000 1
Ag1 0.076 0.250 0.625 1
Pt1 0.000 0.000 0.500 1
```

Total magnetic moment = 0.000 Bohr magnetons per cell

=====

The least stable of them is P.

=====

--- P ---
Entry from Alexandria via LeMat-Bulk: crystalline BaAg2Pt at its relaxed geometry (PBE).

Cell and atoms, written as CIF:
```
data_BaAg2Pt
_chemical_formula_sum 'Ba4 Ag8 Pt4'
_cell_length_a 7.261
_cell_length_b 7.261
_cell_length_c 7.261
_cell_angle_alpha 90.00
_cell_angle_beta 90.00
_cell_angle_gamma 90.00
_space_group_name_H-M_alt 'F m -3 m'
_space_group_IT_number 225
_space_group_name_Hall '-F 4 2 3'
loop_
_atom_site_label
_atom_site_fract_x
_atom_site_fract_y
_atom_site_fract_z
_atom_site_occupancy
Ba1 0.000 0.000 0.000 1
Ag1 0.250 0.250 0.250 1
Pt1 0.000 0.000 0.500 1
```

Total magnetic moment = 0.000 Bohr magnetons per cell

=====

--- Q ---
Entry from Alexandria via LeMat-Bulk: crystalline BaAg2Pt at its relaxed geometry (PBE).

Cell and atoms, written as CIF:
```
data_BaAg2Pt
_chemical_formula_sum 'Ba2 Ag4 Pt2'
_cell_length_a 8.194
_cell_length_b 4.739
_cell_length_c 6.090
_cell_angle_alpha 90.00
_cell_angle_beta 116.68
_cell_angle_gamma 90.00
_space_group_name_H-M_alt 'C 1 2/m 1'
_space_group_IT_number 12
_space_group_name_Hall '-C 2y'
loop_
_atom_site_label
_atom_site_fract_x
_atom_site_fract_y
_atom_site_fract_z
_atom_site_occupancy
Ba1 0.000 0.000 0.000 1
Ag1 0.198 0.000 0.594 1
Pt1 0.000 0.500 0.500 1
```

Total magnetic moment = 0.000 Bohr magnetons per cell

=====

--- R ---
Entry from Alexandria via LeMat-Bulk: crystalline BaAg2Pt at its relaxed geometry (PBE).

Cell and atoms, written as CIF:
```
data_BaAg2Pt
_chemical_formula_sum 'Ba1 Ag2 Pt1'
_cell_length_a 4.422
_cell_length_b 4.857
_cell_length_c 5.301
_cell_angle_alpha 90.00
_cell_angle_beta 94.42
_cell_angle_gamma 90.00
_space_group_name_H-M_alt 'P 1 2/m 1'
_space_group_IT_number 10
_space_group_name_Hall '-P 2y'
loop_
_atom_site_label
_atom_site_fract_x
_atom_site_fract_y
_atom_site_fract_z
_atom_site_occupancy
Ba1 0.000 0.000 0.000 1
Ag1 0.470 0.500 0.748 1
Pt1 0.500 0.000 0.500 1
```

Total magnetic moment = 0.000 Bohr magnetons per cell

=====

--- S ---
Entry from Alexandria via LeMat-Bulk: crystalline BaAg2Pt at its relaxed geometry (PBE).

Cell and atoms, written as CIF:
```
data_BaAg2Pt
_chemical_formula_sum 'Ba1 Ag2 Pt1'
_cell_length_a 3.722
_cell_length_b 3.722
_cell_length_c 6.858
_cell_angle_alpha 90.00
_cell_angle_beta 90.00
_cell_angle_gamma 90.00
_space_group_name_H-M_alt 'P 4/m m m'
_space_group_IT_number 123
_space_group_name_Hall '-P 4 2'
loop_
_atom_site_label
_atom_site_fract_x
_atom_site_fract_y
_atom_site_fract_z
_atom_site_occupancy
Ba1 0.000 0.000 0.000 1
Ag1 0.500 0.500 0.308 1
Pt1 0.000 0.000 0.500 1
```

Total magnetic moment = 0.000 Bohr magnetons per cell

=====

The least stable of them is S.